K2MoAuF6 | GGA+U | relaxed

* DFT total energy: -4.5611 eV/atom

Lattice parameters (Å, degrees): 6.4271 6.4271 6.4271 60.00 60.00 60.00
Fractional positions:
K 0.2500 0.2500 0.2500
K 0.7500 0.7500 0.7500
Mo 0.0000 0.0000 0.0000
Au 0.5000 0.5000 0.5000
F 0.2304 0.2304 0.7696
F 0.2304 0.7696 0.2304
F 0.2304 0.7696 0.7696
F 0.7696 0.2304 0.2304
F 0.7696 0.2304 0.7696
F 0.7696 0.7696 0.2304